Record 1
Material: CrRhO2
Method: DFT, PBE with a Hubbard U
State: optimized geometry

## Properties
- theoretical density (kg/m3) = 6036
- space-group type = No. 122
- energy above the most stable polymorph in this dataset (eV/atom) = 0.8826

```
CrRhO2
1.0
4.615 0.000 0.000
0.000 4.615 0.000
2.308 2.308 4.828
Rh Cr O
2 2 4
Direct
0.000 0.000 0.000
0.750 0.250 0.500
0.250 0.750 0.500
0.500 0.500 0.000
0.375 0.427 0.750
0.573 0.125 0.250
0.177 0.625 0.250
0.875 0.823 0.750
```

Record 2
Material: CrRuRhO6
Method: DFT, PBE with a Hubbard U
State: optimized geometry

## Properties
- energy (eV/atom) = -7.07
- theoretical density (kg/m3) = 6254
- space-group type = No. 163

```
CrRuRhO6
1.0
5.018 0.000 0.000
-2.509 4.346 0.000
0.000 0.000 8.570
O Ru Cr Rh
12 2 2 2
Direct
0.667 0.994 0.376
0.006 0.333 0.124
0.333 0.006 0.624
0.994 0.667 0.876
0.327 0.333 0.376
0.673 0.667 0.624
0.667 0.673 0.124
0.006 0.673 0.376
0.327 0.994 0.124
0.333 0.327 0.876
0.994 0.327 0.624
0.673 0.006 0.876
0.000 0.000 0.500
0.000 0.000 0.000
0.333 0.667 0.250
0.667 0.333 0.750
0.333 0.667 0.750
0.667 0.333 0.250
```

Record 3
Material: CrSbRhO6
Method: DFT, PBE with a Hubbard U
State: optimized geometry

## Properties
- energy (eV/atom) = -6.74
- theoretical density (kg/m3) = 6159
- space-group type = No. 102

```
CrSbRhO6
1.0
4.629 0.000 0.000
0.000 4.629 0.000
0.000 0.000 9.376
Sb O Cr Rh
2 12 2 2
Direct
0.000 0.000 0.333
0.500 0.500 0.833
0.194 0.806 0.165
0.808 0.192 0.835
0.306 0.306 0.000
0.692 0.692 0.335
0.192 0.808 0.835
0.194 0.806 0.500
0.694 0.694 0.665
0.806 0.194 0.500
0.806 0.194 0.165
0.308 0.308 0.335
0.694 0.694 0.000
0.306 0.306 0.665
0.500 0.500 0.500
0.000 0.000 0.000
0.500 0.500 0.166
0.000 0.000 0.666
```

Record 4
Material: SrCrRhO6
Method: DFT, PBE with a Hubbard U
State: optimized geometry

## Properties
- energy (eV/atom) = -6.57
- theoretical density (kg/m3) = 4502
- space-group type = No. 5

```
SrCrRhO6
1.0
5.215 0.000 0.017
2.608 4.448 0.009
0.016 0.000 5.383
O Sr Cr Rh
6 1 1 1
Direct
0.382 0.620 0.297
0.628 0.995 0.307
0.377 0.995 0.693
0.622 0.390 0.701
0.988 0.390 0.299
0.998 0.620 0.703
0.000 0.999 0.000
0.672 0.655 0.500
0.332 0.336 0.500
```

Record 5
Material: SrCr2RhO8
Method: DFT, PBE with a Hubbard U
State: optimized geometry

## Properties
- energy (eV/atom) = -6.73
- theoretical density (kg/m3) = 4169
- space-group type = No. 147

```
SrCr2RhO8
1.0
5.230 0.000 0.000
-2.615 4.529 0.000
0.000 0.000 7.106
O Sr Cr Rh
8 1 2 1
Direct
0.667 0.333 0.020
0.675 0.735 0.678
0.333 0.667 0.980
0.735 0.059 0.322
0.265 0.941 0.678
0.941 0.675 0.322
0.059 0.325 0.678
0.325 0.265 0.322
0.000 0.000 0.000
0.667 0.333 0.253
0.333 0.667 0.747
0.000 0.000 0.500
```

Record 6
Material: TaCrRhO6
Method: DFT, PBE with a Hubbard U
State: optimized geometry

## Properties
- energy (eV/atom) = -8.13
- theoretical density (kg/m3) = 7131
- space-group type = No. 102

```
TaCrRhO6
1.0
-0.643 1.599 4.349
-4.437 1.051 -1.043
-2.621 -8.387 2.696
O Ta Cr Rh
12 2 2 2
Direct
0.805 0.195 0.832
0.305 0.305 0.332
0.801 0.199 0.171
0.197 0.803 0.497
0.699 0.699 0.671
0.303 0.303 0.997
0.803 0.197 0.497
0.199 0.801 0.171
0.695 0.695 0.332
0.301 0.301 0.671
0.697 0.697 0.997
0.195 0.805 0.832
0.500 0.500 0.832
0.000 0.000 0.332
0.000 0.000 0.666
0.500 0.500 0.166
0.500 0.500 0.500
0.000 0.000 0.000
```